## BaCaZr2 (PBEsol)

Data for a geometry-optimized BaCaZr2 structure.

POSCAR file:
```
BaCaZr2
1.0
1.696 -2.778 0.000
1.696 2.778 0.000
0.000 0.000 12.163
Ba Ca Zr
1 1 2
direct
0.000 0.000 0.000
0.000 0.000 0.500
0.500 0.500 0.257
0.500 0.500 0.743
```

Properties
Energy above the most stable polymorph in this dataset = 5.43 kJ/mol of atoms
Volume = 114.61 Å³ per cell